This record from Alexandria via LeMat-Bulk describes crystalline Zr2HIrSe at its relaxed geometry. The functional is PBE-GGA.

Output
The electronic total energy is -33.18 eV/f.u. Its volume is 86.6 Å³/f.u.

Cell: 5.1461 3.2715 5.1461 Å, 90.00 90.00 90.00°
With the nearest neighbours (Å) after each atom.
Fractional positions:
Ir 0.5000 0.5000 0.5000  8 Zr 3.05, 2 Ir 3.27
Se 0.0000 0.0000 0.0000  2 H 1.64
Zr 0.5000 0.0000 0.0000  2 Se 2.57
Zr 0.0000 0.0000 0.5000  2 Se 2.57
H 0.0000 0.5000 0.0000  2 Se 1.64